HfAl3O at its PBEsol-relaxed geometry. Source: Alexandria, functional meta-GGA SCAN.

## Properties
Formation energy from raw total energies, meV per atom: 1520

Cell lengths 5.2513, 5.2513, 5.2513 Å; angles 90.00, 90.00, 90.00 degrees
Closest atoms and distances in Å follow each position.
Positions (direct):
Hf 0.0000 0.0000 0.0000  6 Al 2.63
Al 0.0000 0.0000 0.5000  2 Hf 2.63
Al 0.0000 0.5000 0.0000  2 Hf 2.63
Al 0.5000 0.0000 0.0000  2 Hf 2.63
O 0.5000 0.5000 0.5000  12 Al 3.71


Hf6Al16Os7 at its PBEsol-relaxed geometry. Source: Alexandria, functional meta-GGA SCAN.

## Properties
Energy of formation from the pure elements, eV/f.u.: -19.31

Cell lengths 8.6390, 8.6390, 8.6390 Å; angles 60.00, 60.00, 60.00 degrees
Closest atoms and distances in Å follow each position.
Positions (direct):
Hf 0.2068 0.2068 0.7932  8 Al 2.87-2.96, 4 Os 3.10
Hf 0.2068 0.7932 0.2068  8 Al 2.87-2.96, 4 Os 3.10
Hf 0.2068 0.7932 0.7932  8 Al 2.87-2.96, 4 Os 3.10
Hf 0.7932 0.2068 0.2068  8 Al 2.87-2.96, 4 Os 3.10
Hf 0.7932 0.2068 0.7932  8 Al 2.87-2.96, 4 Os 3.10
Hf 0.7932 0.7932 0.2068  8 Al 2.87-2.96, 4 Os 3.10
Al 0.1413 0.6196 0.6196  4 Os 2.53-2.69, 3 Al 2.76
Al 0.1631 0.1631 0.1631  3 Os 2.50, 3 Al 2.76
Al 0.1631 0.1631 0.5108  3 Os 2.50, 3 Al 2.76
Al 0.1631 0.5108 0.1631  3 Os 2.50, 3 Al 2.76
Al 0.3804 0.3804 0.3804  4 Os 2.53-2.69, 3 Al 2.76
Al 0.3804 0.3804 0.8587  4 Os 2.53-2.69, 3 Al 2.76
Al 0.3804 0.8587 0.3804  4 Os 2.53-2.69, 3 Al 2.76
Al 0.4892 0.8369 0.8369  3 Os 2.50, 3 Al 2.76
Al 0.5108 0.1631 0.1631  3 Os 2.50, 3 Al 2.76
Al 0.6196 0.1413 0.6196  4 Os 2.53-2.69, 3 Al 2.76
Al 0.6196 0.6196 0.1413  4 Os 2.53-2.69, 3 Al 2.76
Al 0.6196 0.6196 0.6196  4 Os 2.53-2.69, 3 Al 2.76
Al 0.8369 0.4892 0.8369  3 Os 2.50, 3 Al 2.76
Al 0.8369 0.8369 0.4892  3 Os 2.50, 3 Al 2.76
Al 0.8369 0.8369 0.8369  3 Os 2.50, 3 Al 2.76
Al 0.8587 0.3804 0.3804  4 Os 2.53-2.69, 3 Al 2.76
Os 0.0000 0.0000 0.5000  8 Al 2.50-2.69
Os 0.0000 0.5000 0.0000  8 Al 2.50-2.69
Os 0.0000 0.5000 0.5000  8 Al 2.50-2.69
Os 0.5000 0.0000 0.0000  8 Al 2.50-2.69
Os 0.5000 0.0000 0.5000  8 Al 2.50-2.69
Os 0.5000 0.5000 0.0000  8 Al 2.50-2.69
Os 0.5000 0.5000 0.5000  8 Al 2.53


Hf2AlOsS at its PBEsol-relaxed geometry. Source: Alexandria, functional meta-GGA SCAN.

## Properties
Formation energy from raw total energies, meV per atom: 1181

Cell lengths 4.9602, 4.9602, 4.0575 Å; angles 90.00, 90.00, 90.00 degrees
Closest atoms and distances in Å follow each position.
Positions (direct):
Hf 0.0000 0.5000 0.0000  2 Al 2.48
Hf 0.5000 0.0000 0.0000  2 Al 2.48
Al 0.0000 0.0000 0.0000  2 S 2.03
Os 0.5000 0.5000 0.5000  8 Hf 3.20, 4 S 3.51
S 0.0000 0.0000 0.5000  2 Al 2.03


Hf2AlPb2 at its PBEsol-relaxed geometry. Source: Alexandria, functional meta-GGA SCAN.

## Properties
Energy of formation from the pure elements, eV/f.u.: 2.10

Cell lengths 4.1110, 4.1110, 14.5019 Å; angles 90.00, 90.00, 90.00 degrees
Closest atoms and distances in Å follow each position.
Positions (direct):
Hf 0.0000 0.0000 0.0943  1 Hf 2.73, 4 Pb 3.05
Hf 0.0000 0.0000 0.9057  1 Hf 2.73, 4 Pb 3.05
Hf 0.5000 0.5000 0.4057  1 Hf 2.73, 4 Pb 3.05
Hf 0.5000 0.5000 0.5943  1 Hf 2.73, 4 Pb 3.05
Al 0.0000 0.0000 0.5000  8 Hf 3.21
Al 0.5000 0.5000 0.0000  8 Hf 3.21
Pb 0.0000 0.5000 0.2500  4 Pb 2.91, 4 Hf 3.05
Pb 0.0000 0.5000 0.7500  4 Pb 2.91, 4 Hf 3.05
Pb 0.5000 0.0000 0.2500  4 Pb 2.91, 4 Hf 3.05
Pb 0.5000 0.0000 0.7500  4 Pb 2.91, 4 Hf 3.05


HfAlPbW2 at its PBEsol-relaxed geometry. Source: Alexandria, functional meta-GGA SCAN.

## Properties
Energy of formation from the pure elements, eV/f.u.: 7.35

Cell lengths 4.5845, 4.5845, 4.8789 Å; angles 90.00, 90.00, 90.00 degrees
Closest atoms and distances in Å follow each position.
Positions (direct):
Hf 0.0000 0.0000 0.0000  2 Al 2.44
Al 0.0000 0.0000 0.5000  4 W 2.29, 2 Hf 2.44
Pb 0.5000 0.5000 0.0000  4 Hf 3.24, 8 W 3.35
W 0.0000 0.5000 0.5000  2 Al 2.29
W 0.5000 0.0000 0.5000  2 Al 2.29


HfAl2Pd2 at its PBEsol-relaxed geometry. Source: Alexandria, functional meta-GGA SCAN.

## Properties
Excess energy over the best structure of this formula in the dataset, kJ/mol of formula units: 16.8
Energy of formation from the pure elements, eV/f.u.: -3.94

Cell lengths 7.4926, 7.4926, 2.7782 Å; angles 90.00, 90.00, 90.00 degrees
Closest atoms and distances in Å follow each position.
Positions (direct):
Hf 0.0000 0.0000 0.0000  2 Hf 2.78, 4 Al 2.94
Hf 0.5000 0.5000 0.0000  2 Hf 2.78, 4 Al 2.94
Al 0.1291 0.3709 0.0000  6 Pd 2.57-2.63, 3 Al 2.74-2.78
Al 0.3709 0.8709 0.0000  6 Pd 2.57-2.63, 3 Al 2.74-2.78
Al 0.6291 0.1291 0.0000  6 Pd 2.57-2.63, 3 Al 2.74-2.78
Al 0.8709 0.6291 0.0000  6 Pd 2.57-2.63, 3 Al 2.74-2.78
Pd 0.1669 0.6669 0.5000  6 Al 2.57-2.63, 2 Pd 2.78
Pd 0.3331 0.1669 0.5000  6 Al 2.57-2.63, 2 Pd 2.78
Pd 0.6669 0.8331 0.5000  6 Al 2.57-2.63, 2 Pd 2.78
Pd 0.8331 0.3331 0.5000  6 Al 2.57-2.63, 2 Pd 2.78


Hf2Al3Pd at its PBEsol-relaxed geometry. Source: Alexandria, functional meta-GGA SCAN.

## Properties
Energy of formation from the pure elements, eV/f.u.: -4.28

Cell lengths 5.2756, 5.2756, 8.2604 Å; angles 90.00, 90.00, 120.00 degrees
Closest atoms and distances in Å follow each position.
Positions (direct):
Hf 0.3333 0.6667 0.0685  4 Hf 3.00-3.25, 9 Al 3.03, 3 Pd 3.10
Hf 0.3333 0.6667 0.4315  4 Hf 3.00-3.25, 9 Al 3.03, 3 Pd 3.10
Hf 0.6667 0.3333 0.5685  4 Hf 3.00-3.25, 9 Al 3.03, 3 Pd 3.10
Hf 0.6667 0.3333 0.9315  4 Hf 3.00-3.25, 9 Al 3.03, 3 Pd 3.10
Al 0.1698 0.3397 0.7500  2 Pd 2.58, 4 Al 2.59-2.69
Al 0.1698 0.8302 0.7500  2 Pd 2.58, 4 Al 2.59-2.69
Al 0.3397 0.1698 0.2500  2 Pd 2.58, 4 Al 2.59-2.69
Al 0.6603 0.8302 0.7500  2 Pd 2.58, 4 Al 2.59-2.69
Al 0.8302 0.1698 0.2500  2 Pd 2.58, 4 Al 2.59-2.69
Al 0.8302 0.6603 0.2500  2 Pd 2.58, 4 Al 2.59-2.69
Pd 0.0000 0.0000 0.0000  6 Al 2.58
Pd 0.0000 0.0000 0.5000  6 Al 2.58


HfAl2Pd2 at its PBEsol-relaxed geometry. Source: Alexandria, functional meta-GGA SCAN.

## Properties
Excess energy over the best structure of this formula in the dataset, kJ/mol of formula units: 0.0
Energy of formation from the pure elements, eV/f.u.: -4.11

Cell lengths 7.4478, 7.4478, 2.8392 Å; angles 90.00, 90.00, 90.00 degrees
Closest atoms and distances in Å follow each position.
Positions (direct):
Hf 0.0000 0.0000 0.0000  2 Hf 2.84, 4 Pd 2.90, 8 Al 3.14
Hf 0.5000 0.5000 0.0000  2 Hf 2.84, 4 Pd 2.90, 8 Al 3.14
Al 0.1595 0.3405 0.5000  6 Pd 2.59-2.62, 2 Al 2.84
Al 0.3405 0.8405 0.5000  6 Pd 2.59-2.62, 2 Al 2.84
Al 0.6595 0.1595 0.5000  6 Pd 2.59-2.62, 2 Al 2.84
Al 0.8405 0.6595 0.5000  6 Pd 2.59-2.62, 2 Al 2.84
Pd 0.1353 0.6353 0.0000  6 Al 2.59-2.62, 3 Pd 2.84-2.85
Pd 0.3647 0.1353 0.0000  6 Al 2.59-2.62, 3 Pd 2.84-2.85
Pd 0.6353 0.8647 0.0000  6 Al 2.59-2.62, 3 Pd 2.84-2.85
Pd 0.8647 0.3647 0.0000  6 Al 2.59-2.62, 3 Pd 2.84-2.85


Hf3AlPt at its PBEsol-relaxed geometry. Source: Alexandria, functional meta-GGA SCAN.

## Properties
Excess energy over the best structure of this formula in the dataset, kJ/mol of formula units: 0.0
Energy of formation from the pure elements, eV/f.u.: 0.46

Cell lengths 4.9710, 4.9710, 4.9710 Å; angles 90.00, 90.00, 90.00 degrees
Closest atoms and distances in Å follow each position.
Positions (direct):
Hf 0.0000 0.0000 0.5000  2 Pt 2.49
Hf 0.0000 0.5000 0.0000  2 Pt 2.49
Hf 0.5000 0.0000 0.0000  2 Pt 2.49
Al 0.5000 0.5000 0.5000  12 Hf 3.52
Pt 0.0000 0.0000 0.0000  6 Hf 2.49


HfAlPt at its PBEsol-relaxed geometry. Source: Alexandria, functional meta-GGA SCAN.

## Properties
Energy of formation from the pure elements, eV/f.u.: -3.89

Cell lengths 7.0691, 7.0691, 7.0835 Å; angles 90.00, 90.00, 120.00 degrees
Closest atoms and distances in Å follow each position.
Positions (direct):
Hf 0.0212 0.6088 0.2500  5 Pt 2.76-2.84, 4 Al 2.97-3.00
Hf 0.3912 0.4125 0.2500  5 Pt 2.76-2.84, 4 Al 2.97-3.00
Hf 0.4125 0.3912 0.7500  5 Pt 2.76-2.84, 4 Al 2.97-3.00
Hf 0.5875 0.9788 0.2500  5 Pt 2.76-2.84, 4 Al 2.97-3.00
Hf 0.6088 0.0212 0.7500  5 Pt 2.76-2.84, 4 Al 2.97-3.00
Hf 0.9788 0.5875 0.7500  5 Pt 2.76-2.84, 4 Al 2.97-3.00
Al 0.0000 0.2610 0.0000  4 Pt 2.56-2.66
Al 0.0000 0.2610 0.5000  4 Pt 2.56-2.66
Al 0.2610 0.0000 0.0000  4 Pt 2.56-2.66
Al 0.2610 0.0000 0.5000  4 Pt 2.56-2.66
Al 0.7390 0.7390 0.0000  4 Pt 2.56-2.66
Al 0.7390 0.7390 0.5000  4 Pt 2.56-2.66
Pt 0.0000 0.0000 0.2500  6 Al 2.56, 3 Hf 2.84
Pt 0.0000 0.0000 0.7500  6 Al 2.56, 3 Hf 2.84
Pt 0.3333 0.6667 0.5293  3 Al 2.66, 6 Hf 2.76-2.84
Pt 0.3333 0.6667 0.9707  3 Al 2.66, 6 Hf 2.76-2.84
Pt 0.6667 0.3333 0.0293  3 Al 2.66, 6 Hf 2.76-2.84
Pt 0.6667 0.3333 0.4707  3 Al 2.66, 6 Hf 2.76-2.84


HfAlPt at its PBEsol-relaxed geometry. Source: Alexandria, functional meta-GGA SCAN.

## Properties
Energy of formation from the pure elements, eV/f.u.: -3.87

Cell lengths 7.0785, 7.0785, 3.5415 Å; angles 90.00, 90.00, 120.00 degrees
Closest atoms and distances in Å follow each position.
Positions (direct):
Hf 0.0000 0.6007 0.0000  5 Pt 2.80-2.83, 6 Al 2.99-3.05
Hf 0.3993 0.3993 0.0000  5 Pt 2.80-2.83, 6 Al 2.99-3.05
Hf 0.6007 0.0000 0.0000  5 Pt 2.80-2.83, 6 Al 2.99-3.05
Al 0.0000 0.2603 0.5000  4 Pt 2.56-2.66
Al 0.2603 0.0000 0.5000  4 Pt 2.56-2.66
Al 0.7397 0.7397 0.5000  4 Pt 2.56-2.66
Pt 0.0000 0.0000 0.0000  6 Al 2.56, 3 Hf 2.83
Pt 0.3333 0.6667 0.5000  3 Al 2.66, 6 Hf 2.80
Pt 0.6667 0.3333 0.5000  3 Al 2.66, 6 Hf 2.80


Hf6Al16Pt7 at its PBEsol-relaxed geometry. Source: Alexandria, functional meta-GGA SCAN.

## Properties
Energy of formation from the pure elements, eV/f.u.: -31.27

Cell lengths 8.7738, 8.7738, 8.7738 Å; angles 60.00, 60.00, 60.00 degrees
Closest atoms and distances in Å follow each position.
Positions (direct):
Hf 0.1812 0.1812 0.8188  8 Al 2.90-3.24, 4 Hf 3.18, 4 Pt 3.22
Hf 0.1812 0.8188 0.1812  8 Al 2.90-3.24, 4 Hf 3.18, 4 Pt 3.22
Hf 0.1812 0.8188 0.8188  8 Al 2.90-3.24, 4 Hf 3.18, 4 Pt 3.22
Hf 0.8188 0.1812 0.1812  8 Al 2.90-3.24, 4 Hf 3.18, 4 Pt 3.22
Hf 0.8188 0.1812 0.8188  8 Al 2.90-3.24, 4 Hf 3.18, 4 Pt 3.22
Hf 0.8188 0.8188 0.1812  8 Al 2.90-3.24, 4 Hf 3.18, 4 Pt 3.22
Al 0.1402 0.6199 0.6199  4 Pt 2.58-2.72, 3 Al 2.78
Al 0.1649 0.1649 0.1649  3 Pt 2.53, 3 Al 2.78
Al 0.1649 0.1649 0.5053  3 Pt 2.53, 3 Al 2.78
Al 0.1649 0.5053 0.1649  3 Pt 2.53, 3 Al 2.78
Al 0.3801 0.3801 0.3801  4 Pt 2.58-2.72, 3 Al 2.78
Al 0.3801 0.3801 0.8598  4 Pt 2.58-2.72, 3 Al 2.78
Al 0.3801 0.8598 0.3801  4 Pt 2.58-2.72, 3 Al 2.78
Al 0.4947 0.8351 0.8351  3 Pt 2.53, 3 Al 2.78
Al 0.5053 0.1649 0.1649  3 Pt 2.53, 3 Al 2.78
Al 0.6199 0.1402 0.6199  4 Pt 2.58-2.72, 3 Al 2.78
Al 0.6199 0.6199 0.1402  4 Pt 2.58-2.72, 3 Al 2.78
Al 0.6199 0.6199 0.6199  4 Pt 2.58-2.72, 3 Al 2.78
Al 0.8351 0.4947 0.8351  3 Pt 2.53, 3 Al 2.78
Al 0.8351 0.8351 0.4947  3 Pt 2.53, 3 Al 2.78
Al 0.8351 0.8351 0.8351  3 Pt 2.53, 3 Al 2.78
Al 0.8598 0.3801 0.3801  4 Pt 2.58-2.72, 3 Al 2.78
Pt 0.0000 0.0000 0.5000  8 Al 2.53-2.72
Pt 0.0000 0.5000 0.0000  8 Al 2.53-2.72
Pt 0.0000 0.5000 0.5000  8 Al 2.53-2.72
Pt 0.5000 0.0000 0.0000  8 Al 2.53-2.72
Pt 0.5000 0.0000 0.5000  8 Al 2.53-2.72
Pt 0.5000 0.5000 0.0000  8 Al 2.53-2.72
Pt 0.5000 0.5000 0.5000  8 Al 2.58


Number 1: M_tot 3.3 Bohr magnetons per cell. Number 2: M_tot 0.0 Bohr magnetons per cell. Number 3: M_tot 1.3 Bohr magnetons per cell. Number 4: M_tot 0.0 Bohr magnetons per cell. Number 5: M_tot 0.0 Bohr magnetons per cell. Number 6: M_tot 0.0 Bohr magnetons per cell. Number 7: M_tot 0.5 Bohr magnetons per cell. Number 8: M_tot 0.0 Bohr magnetons per cell. Number 9: M_tot 0.0 Bohr magnetons per cell. Number 10: M_tot 0.0 Bohr magnetons per cell. Number 11: M_tot 0.0 Bohr magnetons per cell. Number 12: M_tot 0.0 Bohr magnetons per cell.